1.
A geometry-optimized CuH3Ru structure. Source: Alexandria via LeMat-Bulk, functional PBE.

* space-group type: No. 221
* total energy: -4.4012 eV per atom

Unit cell a=3.386 b=3.386 c=3.386 alpha=90.00 beta=90.00 gamma=90.00
Fractional coordinates of all 5 atoms:
Cu  0.500  0.500  0.500
H  0.000  0.000  0.500
H  0.000  0.500  0.000
H  0.500  0.000  0.000
Ru  0.000  0.000  0.000



2.
A geometry-optimized Ag4BO5 structure. Source: Alexandria via LeMat-Bulk, functional PBE.

* space-group type: No. 79
* formation energy from raw total energies: -346 meV per atom

Unit cell a=4.787 b=5.581 c=5.581 alpha=79.40 beta=64.60 gamma=64.60
Fractional coordinates of all 10 atoms:
O  0.393  0.000  0.000
O  0.224  0.826  0.732
Ag  0.625  0.594  0.169
O  0.956  0.268  0.826
Ag  0.219  0.169  0.406
O  0.050  0.732  0.174
B  0.079  0.000  0.000
Ag  0.794  0.831  0.594
Ag  0.388  0.406  0.831
O  0.782  0.174  0.268



3.
A geometry-optimized CeGdZr2 structure. Source: Alexandria via LeMat-Bulk, functional PBE.

* space-group type: No. 166
* DFT formation energy: 135 meV/atom

Unit cell a=3.328 b=3.328 c=11.085 alpha=81.37 beta=81.37 gamma=60.00
Fractional coordinates of all 4 atoms:
Zr  0.748  0.748  0.756
Gd  0.500  0.500  0.500
Ce  0.000  0.000  0.000
Zr  0.252  0.252  0.244



4.
A geometry-optimized Be3Nb3B structure. Source: Alexandria via LeMat-Bulk, functional PBE.

* space-group type: No. 44
* DFT formation energy: -373 meV/atom

Unit cell a=3.348 b=3.347 c=7.874 alpha=102.27 beta=102.27 gamma=90.00
Fractional coordinates of all 7 atoms:
Nb  0.315  0.815  0.630
Be  0.560  0.560  0.120
Be  0.867  0.367  0.735
Nb  0.690  0.190  0.379
Be  0.137  0.637  0.275
B  0.434  0.434  0.869
Nb  0.996  0.996  0.992



5.
A geometry-optimized TlZnCd2Pd structure. Source: Alexandria via LeMat-Bulk, functional PBE.

* space-group type: No. 123
* DFT formation energy: -2 meV/atom

Unit cell a=5.243 b=5.243 c=4.872 alpha=90.00 beta=90.00 gamma=90.00
Fractional coordinates of all 5 atoms:
Tl  0.500  0.500  0.500
Zn  0.000  0.000  0.500
Pd  0.000  0.000  0.000
Cd  0.500  0.000  0.000
Cd  0.000  0.500  0.000



6.
A geometry-optimized CsNpIn2Br6 structure. Source: Alexandria via LeMat-Bulk, functional PBE.

* space-group type: No. 1
* formation energy from raw total energies: -1165 meV per atom

Unit cell a=8.289 b=8.289 c=8.763 alpha=61.71 beta=61.70 gamma=59.87
Fractional coordinates of all 10 atoms:
Br  0.372  0.698  0.765
Br  0.971  0.560  0.236
Br  0.165  0.372  0.765
Br  0.559  0.234  0.236
In  0.521  0.521  0.437
Br  0.699  0.163  0.766
Br  0.233  0.972  0.236
In  0.008  0.009  0.974
Cs  0.808  0.808  0.575
Np  0.325  0.325  0.025



7.
A geometry-optimized Ce8CdRu2 structure. Source: Alexandria via LeMat-Bulk, functional PBE.

* space-group type: No. 12
* DFT formation energy: -112 meV/atom

Unit cell a=5.362 b=8.369 c=7.794 alpha=57.53 beta=82.28 gamma=75.50
Fractional coordinates of all 11 atoms:
Ce  0.689  0.580  0.000
Ru  0.000  0.287  0.427
Ce  0.500  0.253  0.494
Ce  0.500  0.747  0.506
Ce  0.938  0.313  0.786
Ce  0.062  0.687  0.214
Ru  0.000  0.713  0.573
Ce  0.062  0.901  0.786
Cd  0.500  0.000  0.000
Ce  0.938  0.099  0.214
Ce  0.311  0.420  0.000